Computed, not measured: a geometry-optimized MnCd2ReO6 structure at the GGA+U level of DFT.

## Properties
- VASP energy (eV/atom) = -6.33

```
data_MnCd2ReO6
_chemical_formula_sum 'Mn1 Cd2 Re1 O6'
_symmetry_space_group_name_H-M 'P 4 m m'
_symmetry_Int_Tables_number 99
_cell_length_a 5.3405
_cell_length_b 5.3405
_cell_length_c 4.9964
_cell_angle_alpha 90.00
_cell_angle_beta 90.00
_cell_angle_gamma 90.00
loop_
_symmetry_equiv_pos_as_xyz
'x,y,z'
'-y,x,z'
'-x,-y,z'
'y,-x,z'
'-x,y,z'
'y,x,z'
'x,-y,z'
'-y,-x,z'
loop_
_atom_site_label
_atom_site_fract_x
_atom_site_fract_y
_atom_site_fract_z
Mn1 0.0000 0.0000 0.0000
Cd1 0.0000 0.5000 0.4491
Re1 0.5000 0.5000 0.0213
O1 0.0000 0.0000 0.5968
O2 0.2658 0.2658 0.1487
O3 0.5000 0.5000 0.6663
```